In3SiRh after structural relaxation. Source: the Alexandria database, functional PBE.

Unit cell a=5.091 b=5.091 c=5.091 alpha=90.00 beta=90.00 gamma=90.00
Space group Pm-3m (No. 221)
One atom of each set of equivalent atoms:
In 0.000 0.000 0.500
Si 0.500 0.500 0.500
Rh 0.000 0.000 0.000

Calculated values
Formation energy from raw total energies (kJ/mol of formula units): 152.2
E_tot (eV/f.u.): -19.4
Total moment (Bohr magnetons per cell): 0.0
V (Å³/cell): 132.0
Excess energy over the best structure of this formula in the dataset (meV/atom): 0.0